Density functional theory data (PBE) for a relaxed TaAl4Br crystal.

The structure in CIF format:
```
data_TaAl4Br
_symmetry_space_group_name_H-M 'P 1'
_symmetry_Int_Tables_number 1
_cell_length_a 5.310
_cell_length_b 5.310
_cell_length_c 5.310
_cell_angle_alpha 60.00
_cell_angle_beta 60.00
_cell_angle_gamma 60.00
loop_
_symmetry_equiv_pos_as_xyz
'x,y,z'
loop_
_atom_site_label
_atom_site_type_symbol
_atom_site_fract_x
_atom_site_fract_y
_atom_site_fract_z
_atom_site_occupancy
Al1 Al 0.877 0.374 0.374 1
Br1 Br 0.750 0.750 0.750 1
Al2 Al 0.374 0.877 0.374 1
Ta1 Ta 0.000 0.000 0.000 1
Al3 Al 0.374 0.374 0.374 1
Al4 Al 0.374 0.374 0.877 1
```

## Properties
M_tot	0.000	Bohr magnetons per cell
E	-27.2	eV per cell
formation energy without anion corrections	0.220	eV per atom

Density functional theory data (PBE) for a relaxed KCeAg2Se4 crystal.

The structure in CIF format:
```
data_KCeAg2Se4
_symmetry_space_group_name_H-M 'P 1'
_symmetry_Int_Tables_number 1
_cell_length_a 7.187
_cell_length_b 6.610
_cell_length_c 6.610
_cell_angle_alpha 68.65
_cell_angle_beta 57.07
_cell_angle_gamma 57.07
loop_
_symmetry_equiv_pos_as_xyz
'x,y,z'
loop_
_atom_site_label
_atom_site_type_symbol
_atom_site_fract_x
_atom_site_fract_y
_atom_site_fract_z
_atom_site_occupancy
Se1 Se 0.919 0.522 0.081 1
Se2 Se 0.081 0.919 0.478 1
K1 K 0.000 0.000 0.000 1
Se3 Se 0.479 0.081 0.522 1
Ce1 Ce 0.500 0.500 0.500 1
Ag1 Ag 0.799 0.701 0.701 1
Ag2 Ag 0.201 0.299 0.299 1
Se4 Se 0.521 0.478 0.919 1
```

## Properties
M_tot	0.000	Bohr magnetons per cell
E	-32.7	eV per cell
formation energy without anion corrections	-0.748	eV per atom

Density functional theory data (PBE) for a relaxed InAgBr2F crystal.

The structure in CIF format:
```
data_InAgBr2F
_symmetry_space_group_name_H-M 'P 1'
_symmetry_Int_Tables_number 1
_cell_length_a 5.094
_cell_length_b 6.530
_cell_length_c 5.094
_cell_angle_alpha 90.00
_cell_angle_beta 90.00
_cell_angle_gamma 90.00
loop_
_symmetry_equiv_pos_as_xyz
'x,y,z'
loop_
_atom_site_label
_atom_site_type_symbol
_atom_site_fract_x
_atom_site_fract_y
_atom_site_fract_z
_atom_site_occupancy
In1 In 0.000 0.500 0.000 1
Br1 Br 0.500 0.000 0.000 1
Ag1 Ag 0.000 0.000 0.000 1
F1 F 0.500 0.500 0.500 1
Br2 Br 0.000 0.000 0.500 1
```

## Properties
M_tot	0.185	Bohr magnetons per cell
E	-12.4	eV per cell
formation energy without anion corrections	-0.324	eV per atom

Density functional theory data (PBE) for a relaxed La3Pr2Pt4 crystal.

The structure in CIF format:
```
data_La3Pr2Pt4
_symmetry_space_group_name_H-M 'P 1'
_symmetry_Int_Tables_number 1
_cell_length_a 4.261
_cell_length_b 4.261
_cell_length_c 17.105
_cell_angle_alpha 90.03
_cell_angle_beta 89.97
_cell_angle_gamma 120.00
loop_
_symmetry_equiv_pos_as_xyz
'x,y,z'
loop_
_atom_site_label
_atom_site_type_symbol
_atom_site_fract_x
_atom_site_fract_y
_atom_site_fract_z
_atom_site_occupancy
La1 La 0.334 0.666 0.606 1
Pt1 Pt 0.001 0.999 0.693 1
La2 La 0.666 0.334 0.394 1
Pr1 Pr 0.667 0.333 0.800 1
La3 La 0.000 0.000 0.000 1
Pt2 Pt 0.999 0.001 0.307 1
Pt3 Pt 0.334 0.666 0.899 1
Pr2 Pr 0.333 0.667 0.200 1
Pt4 Pt 0.666 0.334 0.101 1
```

## Properties
M_tot	0.000	Bohr magnetons per cell
E	-57.4	eV per cell
energy of formation from the pure elements	-857	kJ/mol of formula units

Density functional theory data (PBE) for a relaxed Cd2AsPd2 crystal.

The structure in CIF format:
```
data_Cd2AsPd2
_symmetry_space_group_name_H-M 'P 1'
_symmetry_Int_Tables_number 1
_cell_length_a 7.996
_cell_length_b 7.996
_cell_length_c 2.978
_cell_angle_alpha 90.00
_cell_angle_beta 90.00
_cell_angle_gamma 90.00
loop_
_symmetry_equiv_pos_as_xyz
'x,y,z'
loop_
_atom_site_label
_atom_site_type_symbol
_atom_site_fract_x
_atom_site_fract_y
_atom_site_fract_z
_atom_site_occupancy
As1 As 0.500 0.500 0.000 1
As2 As 0.000 0.000 0.000 1
Cd1 Cd 0.344 0.844 0.000 1
Pd1 Pd 0.361 0.139 0.500 1
Cd2 Cd 0.844 0.656 0.000 1
Pd2 Pd 0.861 0.361 0.500 1
Cd3 Cd 0.656 0.156 0.000 1
Cd4 Cd 0.156 0.344 0.000 1
Pd3 Pd 0.639 0.861 0.500 1
Pd4 Pd 0.139 0.639 0.500 1
```

## Properties
M_tot	0.000	Bohr magnetons per cell
E	-34.6	eV per cell
energy of formation from the pure elements	-43	kJ/mol of formula units

Density functional theory data (PBE) for a relaxed Ta2GaS4 crystal.

The structure in CIF format:
```
data_Ta2GaS4
_symmetry_space_group_name_H-M 'P 1'
_symmetry_Int_Tables_number 1
_cell_length_a 7.274
_cell_length_b 7.277
_cell_length_c 7.266
_cell_angle_alpha 120.05
_cell_angle_beta 120.04
_cell_angle_gamma 90.00
loop_
_symmetry_equiv_pos_as_xyz
'x,y,z'
loop_
_atom_site_label
_atom_site_type_symbol
_atom_site_fract_x
_atom_site_fract_y
_atom_site_fract_z
_atom_site_occupancy
S1 S 0.856 0.619 0.238 1
S2 S 0.869 0.606 0.738 1
Ta1 Ta 0.625 0.875 0.250 1
Ta2 Ta 0.625 0.375 0.250 1
S3 S 0.868 0.131 0.262 1
S4 S 0.381 0.144 0.762 1
S5 S 0.869 0.132 0.738 1
S6 S 0.394 0.131 0.262 1
Ta3 Ta 0.125 0.375 0.750 1
Ta4 Ta 0.625 0.375 0.750 1
S7 S 0.382 0.619 0.238 1
Ga1 Ga 0.250 0.750 0.500 1
Ga2 Ga 0.000 0.000 0.000 1
S8 S 0.381 0.618 0.762 1
```

## Properties
M_tot	0.000	Bohr magnetons per cell
E	-96.0	eV per cell
formation energy without anion corrections	-0.678	eV per atom

Density functional theory data (PBE) for a relaxed KRb2LiCl crystal.

The structure in CIF format:
```
data_KRb2LiCl
_symmetry_space_group_name_H-M 'P 1'
_symmetry_Int_Tables_number 1
_cell_length_a 7.612
_cell_length_b 7.612
_cell_length_c 4.797
_cell_angle_alpha 90.00
_cell_angle_beta 90.00
_cell_angle_gamma 90.00
loop_
_symmetry_equiv_pos_as_xyz
'x,y,z'
loop_
_atom_site_label
_atom_site_type_symbol
_atom_site_fract_x
_atom_site_fract_y
_atom_site_fract_z
_atom_site_occupancy
Li1 Li 0.000 0.000 0.500 1
Rb1 Rb 0.000 0.500 0.000 1
Cl1 Cl 0.000 0.000 0.000 1
Rb2 Rb 0.500 0.000 0.000 1
K1 K 0.500 0.500 0.500 1
```

## Properties
M_tot	0.000	Bohr magnetons per cell
E	-9.7	eV per cell
formation energy without anion corrections	-0.584	eV per atom

Density functional theory data (PBE) for a relaxed Ti3GaNi4 crystal.

The structure in CIF format:
```
data_Ti3GaNi4
_symmetry_space_group_name_H-M 'P 1'
_symmetry_Int_Tables_number 1
_cell_length_a 4.327
_cell_length_b 5.692
_cell_length_c 8.642
_cell_angle_alpha 90.00
_cell_angle_beta 90.00
_cell_angle_gamma 90.00
loop_
_symmetry_equiv_pos_as_xyz
'x,y,z'
loop_
_atom_site_label
_atom_site_type_symbol
_atom_site_fract_x
_atom_site_fract_y
_atom_site_fract_z
_atom_site_occupancy
Ni1 Ni 0.500 0.758 0.500 1
Ni2 Ni 0.500 0.242 0.500 1
Ni3 Ni 0.500 0.758 0.000 1
Ti1 Ti 0.498 0.500 0.750 1
Ni4 Ni 0.500 0.242 0.000 1
Ga1 Ga 0.000 0.500 0.500 1
Ni5 Ni 0.997 0.758 0.750 1
Ti2 Ti 0.502 0.000 0.250 1
Ti3 Ti 0.502 0.500 0.250 1
Ni6 Ni 0.003 0.758 0.250 1
Ti4 Ti 0.000 0.000 0.000 1
Ni7 Ni 0.997 0.242 0.750 1
Ga2 Ga 0.000 0.500 0.000 1
Ti5 Ti 0.000 0.000 0.500 1
Ti6 Ti 0.498 0.000 0.750 1
Ni8 Ni 0.003 0.242 0.250 1
```

## Properties
M_tot	0.000	Bohr magnetons per cell
E	-106.2	eV per cell
energy of formation from the pure elements	-316	kJ/mol of formula units

Density functional theory data (PBE) for a relaxed Dy2YBi3 crystal.

The structure in CIF format:
```
data_Dy2YBi3
_symmetry_space_group_name_H-M 'P 1'
_symmetry_Int_Tables_number 1
_cell_length_a 4.480
_cell_length_b 6.330
_cell_length_c 7.759
_cell_angle_alpha 114.07
_cell_angle_beta 106.78
_cell_angle_gamma 90.00
loop_
_symmetry_equiv_pos_as_xyz
'x,y,z'
loop_
_atom_site_label
_atom_site_type_symbol
_atom_site_fract_x
_atom_site_fract_y
_atom_site_fract_z
_atom_site_occupancy
Bi1 Bi 0.833 0.333 0.166 1
Bi2 Bi 0.167 0.667 0.834 1
Bi3 Bi 0.500 0.000 0.500 1
Y1 Y 0.500 0.500 0.500 1
Dy1 Dy 0.833 0.833 0.167 1
Dy2 Dy 0.167 0.167 0.833 1
```

## Properties
M_tot	0.000	Bohr magnetons per cell
E	-32.5	eV per cell
energy of formation from the pure elements	-505	kJ/mol of formula units

Density functional theory data (PBE) for a relaxed HfZn3Au3 crystal.

The structure in CIF format:
```
data_HfZn3Au3
_symmetry_space_group_name_H-M 'P 1'
_symmetry_Int_Tables_number 1
_cell_length_a 6.915
_cell_length_b 6.915
_cell_length_c 6.915
_cell_angle_alpha 90.00
_cell_angle_beta 90.00
_cell_angle_gamma 90.00
loop_
_symmetry_equiv_pos_as_xyz
'x,y,z'
loop_
_atom_site_label
_atom_site_type_symbol
_atom_site_fract_x
_atom_site_fract_y
_atom_site_fract_z
_atom_site_occupancy
Au1 Au 0.250 0.000 0.500 1
Zn1 Zn 0.750 0.500 0.000 1
Hf1 Hf 0.500 0.500 0.500 1
Au2 Au 0.500 0.750 0.000 1
Zn2 Zn 0.250 0.500 0.000 1
Zn3 Zn 0.500 0.000 0.750 1
Zn4 Zn 0.000 0.750 0.500 1
Au3 Au 0.000 0.500 0.250 1
Au4 Au 0.750 0.000 0.500 1
Zn5 Zn 0.500 0.000 0.250 1
Zn6 Zn 0.000 0.250 0.500 1
Au5 Au 0.000 0.500 0.750 1
Au6 Au 0.500 0.250 0.000 1
Hf2 Hf 0.000 0.000 0.000 1
```

## Properties
M_tot	1.655	Bohr magnetons per cell
E	-39.2	eV per cell
energy of formation from the pure elements	385	kJ/mol of formula units

Density functional theory data (PBE) for a relaxed CsZnGePSeBr crystal.

The structure in CIF format:
```
data_CsZnGePSeBr
_symmetry_space_group_name_H-M 'P 1'
_symmetry_Int_Tables_number 1
_cell_length_a 5.339
_cell_length_b 4.123
_cell_length_c 17.643
_cell_angle_alpha 90.00
_cell_angle_beta 95.36
_cell_angle_gamma 90.00
loop_
_symmetry_equiv_pos_as_xyz
'x,y,z'
loop_
_atom_site_label
_atom_site_type_symbol
_atom_site_fract_x
_atom_site_fract_y
_atom_site_fract_z
_atom_site_occupancy
Zn1 Zn 0.971 0.000 0.467 1
Se1 Se 0.221 0.500 0.851 1
Cs1 Cs 0.744 0.500 0.669 1
P1 P 0.760 0.500 0.461 1
Se2 Se 0.221 0.000 0.351 1
Zn2 Zn 0.971 0.500 0.967 1
Ge1 Ge 0.514 0.000 0.848 1
P2 P 0.760 0.000 0.961 1
Br1 Br 0.225 0.000 0.597 1
Ge2 Ge 0.514 0.500 0.348 1
Cs2 Cs 0.744 0.000 0.169 1
Br2 Br 0.225 0.500 0.097 1
```

## Properties
M_tot	1.484	Bohr magnetons per cell
E	-40.9	eV per cell
formation energy without anion corrections	-0.524	eV per atom

Density functional theory data (PBE) for a relaxed Sn2MoPbS crystal.

The structure in CIF format:
```
data_Sn2MoPbS
_symmetry_space_group_name_H-M 'P 1'
_symmetry_Int_Tables_number 1
_cell_length_a 5.222
_cell_length_b 5.417
_cell_length_c 5.222
_cell_angle_alpha 90.00
_cell_angle_beta 90.00
_cell_angle_gamma 90.00
loop_
_symmetry_equiv_pos_as_xyz
'x,y,z'
loop_
_atom_site_label
_atom_site_type_symbol
_atom_site_fract_x
_atom_site_fract_y
_atom_site_fract_z
_atom_site_occupancy
Sn1 Sn 0.000 0.000 0.500 1
Pb1 Pb 0.000 0.500 0.000 1
Sn2 Sn 0.500 0.000 0.000 1
S1 S 0.000 0.000 0.000 1
Mo1 Mo 0.500 0.500 0.500 1
```

## Properties
M_tot	4.059	Bohr magnetons per cell
E	-21.9	eV per cell
formation energy without anion corrections	0.953	eV per atom

Number 2 is which compound?
KCeAg2Se4

The highest M_tot belongs to which entry?
Sn2MoPbS

Which value of E does entry 3 give?
-12.4 eV per cell

Repeat the fourth record exactly.
Density functional theory data (PBE) for a relaxed La3Pr2Pt4 crystal.

The structure in CIF format:
```
data_La3Pr2Pt4
_symmetry_space_group_name_H-M 'P 1'
_symmetry_Int_Tables_number 1
_cell_length_a 4.261
_cell_length_b 4.261
_cell_length_c 17.105
_cell_angle_alpha 90.03
_cell_angle_beta 89.97
_cell_angle_gamma 120.00
loop_
_symmetry_equiv_pos_as_xyz
'x,y,z'
loop_
_atom_site_label
_atom_site_type_symbol
_atom_site_fract_x
_atom_site_fract_y
_atom_site_fract_z
_atom_site_occupancy
La1 La 0.334 0.666 0.606 1
Pt1 Pt 0.001 0.999 0.693 1
La2 La 0.666 0.334 0.394 1
Pr1 Pr 0.667 0.333 0.800 1
La3 La 0.000 0.000 0.000 1
Pt2 Pt 0.999 0.001 0.307 1
Pt3 Pt 0.334 0.666 0.899 1
Pr2 Pr 0.333 0.667 0.200 1
Pt4 Pt 0.666 0.334 0.101 1
```

## Properties
M_tot	0.000	Bohr magnetons per cell
E	-57.4	eV per cell
energy of formation from the pure elements	-857	kJ/mol of formula units